No. 1
The following is a PBE calculation of ThUIn after structural relaxation, from Alexandria.

abc: 3.586 5.602 8.634
angles: 105.02 101.99 90.00
Each line ends with the local moment (μB).
Fractional coordinates of all 6 atoms:
1 U 0.758 0.166 0.515  1.31
2 U 0.242 0.834 0.485  1.31
3 In 0.576 0.735 0.153  -0.01
4 In 0.424 0.265 0.847  -0.01
5 Th 0.906 0.756 0.811  0.03
6 Th 0.094 0.244 0.189  0.03

Properties
The calculation puts the spin magnetization at 1.4 μB/f.u. The density of states at the Fermi level is 4.83 states/eV/f.u. The total energy comes out at -7.136 eV/atom. The volume is 164 Å³ per cell. The energy of formation from the pure elements comes out at 0.013 eV/atom.

=====

No. 2
The following is a PBE calculation of CdCu3 after structural relaxation, from Alexandria.

abc: 5.022 5.022 5.022
angles: 116.85 116.85 116.85
Fractional coordinates of all 4 atoms:
1 Cd 0.000 0.000 0.000
2 Cu 0.000 0.500 0.500
3 Cu 0.500 0.000 0.500
4 Cu 0.500 0.500 0.000

Properties
The calculation puts the spin magnetization at 0.0 μB/f.u. The density of states at the Fermi level is 0.86 states/eV/f.u. The total energy comes out at -3.165 eV/atom. The volume is 57 Å³ per cell. The energy of formation from the pure elements comes out at 0.136 eV/atom.

=====

No. 3
The following is a PBE calculation of LiZn2Re after structural relaxation, from Alexandria.

abc: 2.791 4.458 4.451
angles: 90.00 90.00 90.00
Fractional coordinates of all 4 atoms:
1 Li 0.500 0.000 0.500
2 Re 0.000 0.500 0.500
3 Zn 0.000 0.000 0.000
4 Zn 0.500 0.500 0.000

Properties
The calculation puts the spin magnetization at 0.0 μB/f.u. The density of states at the Fermi level is 1.35 states/eV/f.u. The total energy comes out at -3.920 eV/atom. The volume is 55 Å³ per cell. The energy of formation from the pure elements comes out at 0.307 eV/atom.

=====

No. 4
The following is a PBE calculation of HfTaTiVGa after structural relaxation, from Alexandria.

abc: 2.938 4.719 6.792
angles: 110.32 102.14 90.00
Fractional coordinates of all 5 atoms:
1 Ti 0.630 0.628 0.497
2 V 0.553 0.804 0.850
3 Hf 0.249 0.996 0.232
4 Ga 0.724 0.420 0.080
5 Ta 0.051 0.225 0.691

Properties
The calculation puts the spin magnetization at 0.0 μB/f.u. The density of states at the Fermi level is 4.19 states/eV/f.u. The total energy comes out at -8.440 eV/atom. The volume is 86 Å³ per cell. The energy of formation from the pure elements comes out at -0.071 eV/atom.

=====

No. 5
The following is a PBE calculation of CaRe2Ni after structural relaxation, from Alexandria.

abc: 5.888 5.888 4.539
angles: 67.31 67.31 26.75
Fractional coordinates of all 4 atoms:
1 Re 0.037 0.037 0.963
2 Re 0.463 0.463 0.537
3 Ca 0.250 0.250 0.250
4 Ni 0.750 0.750 0.750

Properties
The calculation puts the spin magnetization at 0.0 μB/f.u. The density of states at the Fermi level is 2.05 states/eV/f.u. The total energy comes out at -7.903 eV/atom. The volume is 65 Å³ per cell. The energy of formation from the pure elements comes out at 0.267 eV/atom.

=====

No. 6
The following is a PBE calculation of La4CSe2Br after structural relaxation, from Alexandria.

abc: 4.138 7.272 7.515
angles: 71.65 90.00 90.00
Fractional coordinates of all 8 atoms:
1 La 0.000 0.734 0.717
2 La 0.000 0.266 0.283
3 La 0.500 0.716 0.292
4 La 0.500 0.284 0.708
5 C 0.000 0.500 0.500
6 Se 0.000 0.000 0.000
7 Se 0.500 0.000 0.500
8 Br 0.500 0.500 0.000

Properties
The calculation puts the spin magnetization at 0.0 μB/f.u. The density of states at the Fermi level is 3.17 states/eV/f.u. The total energy comes out at -6.055 eV/atom. The volume is 215 Å³ per cell. The uncorrected formation energy is -1358 meV per atom.

=====

No. 7
The following is a PBE calculation of LaHgRu after structural relaxation, from Alexandria.

abc: 4.888 4.888 4.888
angles: 60.00 60.00 60.00
Fractional coordinates of all 3 atoms:
1 Hg 0.500 0.500 0.500
2 La 0.250 0.250 0.250
3 Ru 0.000 0.000 0.000

Properties
The calculation puts the spin magnetization at 0.0 μB/f.u. The density of states at the Fermi level is 3.00 states/eV/f.u. The total energy comes out at -4.233 eV/atom. The volume is 83 Å³ per cell. The energy of formation from the pure elements comes out at 0.602 eV/atom.

=====

No. 8
The following is a PBE calculation of TlRe3B after structural relaxation, from Alexandria.

abc: 4.226 4.226 4.226
angles: 90.00 90.00 90.00
Fractional coordinates of all 5 atoms:
1 Re 0.000 0.500 0.000
2 Re 0.000 0.000 0.500
3 Re 0.500 0.000 0.000
4 Tl 0.500 0.500 0.500
5 B 0.000 0.000 0.000

Properties
The calculation puts the spin magnetization at 0.0 μB/f.u. The density of states at the Fermi level is 5.44 states/eV/f.u. The total energy comes out at -8.571 eV/atom. The volume is 75 Å³ per cell. The energy of formation from the pure elements comes out at 0.706 eV/atom.